First-principles (PBE) data for a geometry-optimized Dy5Er5In structure, as listed in Alexandria.

Unit cell a=6.0233 b=6.0233 c=11.1653 alpha=90.00 beta=90.00 gamma=120.00
Last column: nearest neighbours and their distance in Å.
Sites, in units of the cell vectors:
Dy1 0.0000 0.0000 0.0000  2 Er 2.97
Dy2 0.3333 0.6667 0.2969  1 In 3.31, 3 Er 3.49
Dy3 0.3333 0.6667 0.7031  1 In 3.31, 3 Er 3.49
Dy4 0.6667 0.3333 0.1775  6 Er 3.62-3.99, 7 Dy 3.72-4.00, 3 In 4.00
Dy5 0.6667 0.3333 0.8225  6 Er 3.62-3.99, 7 Dy 3.72-4.00, 3 In 4.00
Er1 0.0000 0.0000 0.2663  1 Dy 2.97, 3 Er 3.15
Er2 0.0000 0.0000 0.7337  1 Dy 2.97, 3 Er 3.15
Er3 0.3372 0.1686 0.5000  6 Er 2.98-3.15
Er4 0.8314 0.1686 0.5000  6 Er 2.98-3.15
Er5 0.8314 0.6628 0.5000  6 Er 2.98-3.15
In1 0.3333 0.6667 0.0000  5 Dy 3.31-3.48

Summary:
Electronic total energy ... -4.110 eV per atom
Energy of formation from the pure elements ... 3.35 eV per formula unit

***

First-principles (PBE) data for a geometry-optimized Mo2RhC structure, as listed in Alexandria.

Unit cell a=6.4176 b=6.4176 c=6.4176 alpha=134.39 beta=134.39 gamma=66.47
Last column: nearest neighbours and their distance in Å.
Sites, in units of the cell vectors:
Mo1 0.0440 0.6250 0.9190  2 C 2.01
Mo2 0.3750 0.2940 0.4190  2 C 2.01
Mo3 0.7060 0.1250 0.0810  2 C 2.01
Mo4 0.8750 0.9560 0.5810  2 C 2.01
Rh1 0.2500 0.7500 0.5000  4 Mo 2.46
Rh2 0.5000 0.5000 0.0000  4 Mo 2.46
C1 0.0000 0.0000 0.0000  4 Mo 2.01
C2 0.7500 0.2500 0.5000  4 Mo 2.01

Summary:
Electronic total energy ... -8.868 eV per atom
Energy of formation from the pure elements ... 2.77 eV per formula unit

***

First-principles (PBE) data for a geometry-optimized PrNd2Zn2Ge2 structure, as listed in Alexandria.

Unit cell a=11.8746 b=11.8746 c=11.8746 alpha=20.43 beta=20.43 gamma=20.43
Last column: nearest neighbours and their distance in Å.
Sites, in units of the cell vectors:
Pr1 0.0000 0.0000 0.0000  6 Ge 3.24, 6 Zn 3.29
Nd1 0.1224 0.1224 0.1224  3 Zn 3.18, 3 Ge 3.23
Nd2 0.8776 0.8776 0.8776  3 Zn 3.18, 3 Ge 3.23
Zn1 0.3968 0.3968 0.3968  3 Ge 2.43
Zn2 0.6032 0.6032 0.6032  3 Ge 2.43
Ge1 0.2720 0.2720 0.2720  3 Zn 2.43
Ge2 0.7280 0.7280 0.7280  3 Zn 2.43

Summary:
Electronic total energy ... -4.220 eV per atom
Energy of formation from the pure elements ... -3.44 eV per formula unit